[1]
Here is an optimized crystal structure of NaCaLa2Co from Alexandria via LeMat-Bulk. Energies are from PBE-GGA.

Cell and atoms, written as extended XYZ:
```
5
Lattice="5.333 0.000 0.000 0.000 5.333 0.000 0.000 0.000 5.907" Properties=species:S:1:pos:R:3 pbc="T T T"
Na 0.000 0.000 0.000
Ca 2.667 2.667 0.000
La 0.000 2.667 2.954
La 2.667 0.000 2.954
Co 2.667 2.667 2.954
```

## Properties
Its crystal system is tetragonal. For the energy relative to the lowest polymorph listed for this composition, the calculation gives 0.000 eV per atom. For the formation energy, the calculation gives -0.083 eV per formula unit. For the electronic total energy, the calculation gives -4.07 eV per atom. For the total magnetization, the calculation gives 0.0 μB/f.u.

[2]
Here is an optimized crystal structure of Ca2LaNbCo from Alexandria via LeMat-Bulk. Energies are from PBE-GGA.

Cell and atoms, written as extended XYZ:
```
5
Lattice="5.767 0.000 0.000 0.000 5.767 0.000 0.000 0.000 4.426" Properties=species:S:1:pos:R:3 pbc="T T T"
Ca 0.000 2.884 0.000
Ca 2.884 0.000 0.000
La 0.000 0.000 0.000
Nb 2.884 2.884 2.213
Co 0.000 0.000 2.213
```

## Properties
Its crystal system is tetragonal. For the formation energy, the calculation gives 6.645 eV per formula unit. For the electronic total energy, the calculation gives -3.89 eV per atom. For the total magnetization, the calculation gives 2.6 μB/f.u.

> total magnetization of number 1 (NaCaLa2Co)?

0.0 μB/f.u.